The following is a DFT calculation (PBE-GGA) of an optimized crystal structure of LiTeOsAuS2.

Summary:
Energy (eV per cell): -57.9

Unit cell a=7.5690 b=7.5690 c=10.3142 alpha=90.00 beta=90.00 gamma=155.58
With the nearest neighbours (Å) after each atom.
Atoms (fractional coordinates):
Li 0.2175 0.7825 0.7500  2 Au 2.63, 2 Te 2.84
Li 0.7825 0.2175 0.2500  2 Au 2.63, 2 Te 2.84
Te 0.4407 0.5593 0.2500  2 Os 2.72, 2 Li 2.84
Te 0.5593 0.4407 0.7500  2 Os 2.72, 2 Li 2.84
Os 0.5000 0.5000 0.0000  4 S 2.41
Os 0.5000 0.5000 0.5000  4 S 2.41
Au 0.1416 0.8584 0.2500  2 S 2.35, 2 Li 2.63
Au 0.8584 0.1416 0.7500  2 S 2.35, 2 Li 2.63
S 0.1202 0.8798 0.0243  1 Au 2.35, 2 Os 2.41
S 0.1202 0.8798 0.4757  1 Au 2.35, 2 Os 2.41
S 0.8798 0.1202 0.5243  1 Au 2.35, 2 Os 2.41
S 0.8798 0.1202 0.9757  1 Au 2.35, 2 Os 2.41

---

The following is a DFT calculation (PBE-GGA) of an optimized crystal structure of LiTe2OsAuSe.

Summary:
Energy (eV per cell): -53.0

Unit cell a=7.9249 b=7.9249 c=9.5456 alpha=90.00 beta=90.00 gamma=149.95
With the nearest neighbours (Å) after each atom.
Atoms (fractional coordinates):
Li 0.2339 0.7661 0.7500  2 Au 2.64, 2 Te 2.80
Li 0.7661 0.2339 0.2500  2 Au 2.64, 2 Te 2.80
Te 0.1204 0.8796 0.5204  1 Au 2.64, 2 Os 2.77, 1 Li 2.80
Te 0.1204 0.8796 0.9796  1 Au 2.64, 2 Os 2.77, 1 Li 2.80
Te 0.8796 0.1204 0.0204  1 Au 2.64, 2 Os 2.77, 1 Li 2.80
Te 0.8796 0.1204 0.4796  1 Au 2.64, 2 Os 2.77, 1 Li 2.80
Os 0.5000 0.5000 0.0000  2 Se 2.39
Os 0.5000 0.5000 0.5000  2 Se 2.39
Au 0.1576 0.8424 0.2500  2 Li 2.64, 2 Te 2.64
Au 0.8424 0.1576 0.7500  2 Li 2.64, 2 Te 2.64
Se 0.4933 0.5067 0.7500  2 Os 2.39
Se 0.5067 0.4933 0.2500  2 Os 2.39